Entry from the Alexandria database: an optimized crystal structure of RbTl2CdF6 (GGA-PBE).

extended XYZ file:
```
20
Lattice="-2.909 -4.965 2.484 5.927 -2.004 2.936 -2.062 4.838 7.466" Properties=species:S:1:pos:R:3 pbc="T T T"
F 0.068 2.370 7.367
Cd -2.486 -0.063 4.975
F -1.681 -2.083 4.219
Tl 0.065 0.173 8.602
F 0.798 -0.703 2.240
Rb 1.932 1.417 5.201
F 0.887 -4.500 5.518
Tl -4.208 -1.483 7.964
F -0.663 1.161 4.486
F -1.880 -0.701 7.119
Tl 0.890 -2.303 4.283
F 2.857 -2.806 2.807
Rb -1.454 -2.482 1.242
Tl 5.163 -0.647 4.922
Cd 2.963 -1.002 1.468
F -1.901 0.676 10.079
F 2.637 -0.047 8.667
F 0.157 -1.427 10.646
F 2.835 -1.429 5.766
F 1.619 -3.291 8.400
```

Formation energy (no corrections), eV per atom: -2.057
E_tot, eV/atom: -3.841
DOS at the Fermi energy, states/eV/cell: 7.72
Space group: No. 14
Theoretical density, g cm⁻³: 6.05

Entry from the Alexandria database: an optimized crystal structure of RbTl4Cd3F12 (GGA-PBE).

extended XYZ file:
```
20
Lattice="-3.527 5.713 4.362 2.025 -6.118 4.751 6.574 2.971 -3.474" Properties=species:S:1:pos:R:3 pbc="T T T"
Tl 3.287 1.486 -1.737
Cd 1.523 4.342 0.444
F 2.213 6.308 0.645
F 3.673 3.555 0.764
F 3.924 -1.675 2.917
F 6.246 -2.286 0.928
F 0.011 1.968 4.779
F 2.353 -0.861 0.349
Cd -0.751 -0.203 4.557
Rb 0.000 0.000 0.000
F -1.091 -0.295 6.620
Tl 2.536 1.283 2.820
Cd 4.299 -1.574 0.639
Tl 1.013 -3.059 2.376
F 1.399 -0.990 4.876
Tl -1.764 2.856 2.181
F 0.834 2.376 0.243
F 1.148 4.241 2.723
F -0.411 -0.111 2.494
F 5.061 0.597 0.861
```

Formation energy (no corrections), eV per atom: -1.942
E_tot, eV/atom: -3.723
DOS at the Fermi energy, states/eV/cell: 10.12
Space group: No. 229
Theoretical density, g cm⁻³: 6.17

Entry from the Alexandria database: an optimized crystal structure of RbTl2CdF5 (GGA-PBE).

extended XYZ file:
```
9
Lattice="-0.995 3.395 2.690 -2.213 -4.163 4.434 7.633 0.030 -0.885" Properties=species:S:1:pos:R:3 pbc="T T T"
F -0.681 -1.533 5.354
F 3.977 -1.329 3.147
Tl 2.627 -0.154 1.167
F 0.449 0.590 3.092
Rb -1.107 -2.081 2.217
Tl 1.798 -0.584 5.073
F 5.106 0.795 0.885
Cd -0.498 1.697 1.345
F 0.000 0.000 0.000
```

Formation energy (no corrections), eV per atom: -2.111
E_tot, eV/atom: -3.886
DOS at the Fermi energy, states/eV/cell: 0.00
Space group: No. 71
Theoretical density, g cm⁻³: 6.13

Entry from the Alexandria database: an optimized crystal structure of Rb2TlCd2F7 (GGA-PBE).

extended XYZ file:
```
12
Lattice="4.503 -0.003 0.013 0.003 4.503 0.013 2.219 2.217 11.512" Properties=species:S:1:pos:R:3 pbc="T T T"
Cd 2.249 2.246 2.269
F 2.241 2.238 4.505
F 4.501 2.247 2.239
F 4.485 4.479 7.033
Rb 2.230 2.227 7.255
F 4.473 2.219 9.298
Tl 0.000 0.000 0.000
F 2.225 4.471 9.298
F 2.253 2.250 0.013
Cd 4.477 4.471 9.269
F 2.252 4.498 2.239
Rb 4.496 4.490 4.283
```

Formation energy (no corrections), eV per atom: -2.323
E_tot, eV/atom: -3.926
DOS at the Fermi energy, states/eV/cell: 0.00
Space group: No. 12
Theoretical density, g cm⁻³: 5.22

Entry from the Alexandria database: an optimized crystal structure of Rb2TmCd3F12 (GGA-PBE).

extended XYZ file:
```
18
Lattice="-4.723 3.269 5.809 -7.383 -3.022 1.759 -1.505 -3.886 7.026" Properties=species:S:1:pos:R:3 pbc="T T T"
Rb -5.385 -1.440 5.774
Cd -2.362 1.635 2.904
Rb -8.226 -2.199 8.820
F -8.793 -2.957 5.861
F -3.852 1.744 4.586
F -5.480 -2.106 2.107
Cd -3.692 -1.511 0.880
F -8.224 -0.181 5.682
F -8.131 -1.532 12.487
F -5.388 -3.458 8.912
F -4.819 -0.681 8.733
F -11.729 -1.003 9.264
Cd -0.752 -1.943 3.513
F -9.759 -5.383 10.009
F -7.252 0.686 8.207
F -6.359 -4.325 6.388
F -1.882 -2.636 5.331
Tm 0.000 0.000 0.000
```

Formation energy (no corrections), eV per atom: -2.623
E_tot, eV/atom: -4.379
DOS at the Fermi energy, states/eV/cell: 11.01
Space group: No. 166
Theoretical density, g cm⁻³: 4.07

Entry from the Alexandria database: an optimized crystal structure of RbTmCd2F8 (GGA-PBE).

extended XYZ file:
```
12
Lattice="3.998 0.002 -0.002 0.037 5.734 -0.005 0.004 0.010 7.910" Properties=species:S:1:pos:R:3 pbc="T T T"
Cd 2.020 2.875 5.873
Rb 0.002 0.005 3.955
F 4.002 1.507 6.265
F 2.034 4.484 -0.004
Cd 2.018 2.871 2.029
Tm 0.000 0.000 0.000
F 2.041 4.097 3.950
F 0.039 4.244 6.265
F 4.000 1.502 1.637
F 0.036 4.239 1.637
F 2.004 1.262 7.907
F 1.997 1.649 3.952
```

Formation energy (no corrections), eV per atom: -2.880
E_tot, eV/atom: -4.733
DOS at the Fermi energy, states/eV/cell: 0.00
Space group: No. 10
Theoretical density, g cm⁻³: 5.78

> Which of these has the lowest E_tot?

RbTmCd2F8

> Look up the E_tot of the second one.

-3.723 eV/atom

> The highest formation energy (no corrections) belongs to which entry?

RbTl4Cd3F12